1.
{"formula": "HfBP2O", "functional": "GGA-PBE", "state": "relaxed", "relative_energy_mev_per_atom": 0, "final_energy_ev_per_atom": -6.813, "e_form_raw_ev_per_atom": -0.331, "cell": [[-2.7644, -2.1558, -3.5501], [0.3522, -4.3709, 2.3799], [-2.2547, 0.5819, 1.4023]], "species": ["P", "O", "P", "Hf", "B"], "fractional_positions": [[0.5000, 0.0000, 0.0000], [0.0000, 0.0000, 0.5000], [0.0000, 0.5000, 0.0000], [0.5000, 0.5000, 0.5000], [0.0000, 0.0000, 0.0000]]}

2.
{"formula": "ReH2Pt", "functional": "GGA-PBE", "state": "relaxed", "relative_energy_mev_per_atom": 524, "final_energy_ev_per_atom": -5.369, "cell": [[0.0000, 2.6854, 2.6854], [2.6854, 0.0000, 2.6854], [2.6854, 2.6854, 0.0000]], "species": ["H", "Pt", "Re", "H"], "fractional_positions": [[0.7500, 0.7500, 0.7500], [0.5000, 0.5000, 0.5000], [0.0000, 0.0000, 0.0000], [0.2500, 0.2500, 0.2500]]}

3.
{"formula": "HfZr6Pb", "functional": "GGA-PBE", "state": "relaxed", "formation_energy_ev_per_atom": -0.07, "final_energy_ev_per_atom": -8.191, "cell": [[4.4402, 0.0000, 0.0000], [0.0000, 4.4401, 0.0000], [0.0000, 0.0000, 9.4149]], "species": ["Zr", "Zr", "Pb", "Zr", "Zr", "Zr", "Hf", "Zr"], "fractional_positions": [[0.0000, 0.5000, 0.2598], [0.5000, 0.0000, 0.7402], [0.0000, 0.0000, 0.0000], [0.5000, 0.5000, 0.0000], [0.0000, 0.5000, 0.7402], [0.5000, 0.5000, 0.5000], [0.0000, 0.0000, 0.5000], [0.5000, 0.0000, 0.2598]]}

4.
{"formula": "CuGeSe2", "functional": "GGA-PBE", "state": "relaxed", "final_energy_ev_per_atom": -3.979, "e_form_raw_ev_per_atom": -0.058, "cell": [[-0.5156, 3.6574, 0.4036], [-3.4425, 1.3728, 0.2645], [-1.0926, 0.9887, 6.7464]], "species": ["Cu", "Ge", "Se", "Se"], "fractional_positions": [[0.6694, 0.6694, 0.9918], [0.5019, 0.5019, 0.4944], [0.0713, 0.0713, 0.7862], [0.2575, 0.2575, 0.2276]]}

5.
{"formula": "HfZrBr2", "functional": "GGA-PBE", "state": "relaxed", "relative_energy_mev_per_atom": 1127, "final_energy_ev_per_atom": -5.303, "e_form_raw_ev_per_atom": 0.158, "cell": [[7.5185, 0.0000, 0.0000], [0.0000, 7.5185, 0.0000], [3.7592, 3.7592, 3.2531]], "species": ["Hf", "Br", "Br", "Zr", "Br", "Hf", "Br", "Zr"], "fractional_positions": [[0.7500, 0.2500, 0.5000], [0.3750, 0.3708, 0.7500], [0.8750, 0.8792, 0.7500], [0.2500, 0.7500, 0.5000], [0.6292, 0.1250, 0.2500], [0.0000, 0.0000, 0.0000], [0.1208, 0.6250, 0.2500], [0.5000, 0.5000, 0.0000]]}

6.
{"formula": "SrSbCl", "functional": "GGA-PBE", "state": "relaxed", "relative_energy_mev_per_atom": 836, "final_energy_ev_per_atom": -3.267, "e_form_raw_ev_per_atom": -0.717, "cell": [[5.4495, 0.0000, 0.0000], [2.7247, 4.7194, 0.0000], [2.7247, 1.5731, 4.4495]], "species": ["Sb", "Sr", "Cl"], "fractional_positions": [[0.5000, 0.5000, 0.5000], [0.7500, 0.7500, 0.7500], [0.0000, 0.0000, 0.0000]]}